1.
VASP calculation (GGA-PBE) on a relaxed structure of DyTh2PaAs4.

For the formation energy, the calculation gives -1.340 eV/atom. The calculation puts the total magnetization at 0.00 μB/f.u.

The structure belongs to space group P2/m (No. 10); the cell edges are 7.230, 4.184 and 7.238 Å and the angles 90.00°, 109.50° and 90.00°. The inequivalent atoms are Dy at (0.000, 0.000, 0.000), Th at (0.000, 0.500, 0.500), Th at (0.500, 0.000, 0.500), Pa at (0.500, 0.500, 0.000), As at (0.248, 0.500, 0.239) and As at (0.255, 0.000, 0.762).



2.
VASP calculation (GGA-PBE) on a relaxed structure of Dy2TmPaAs4.

For the formation energy, the calculation gives -1.409 eV/atom. The calculation puts the total magnetization at 0.01 μB/f.u.

The structure belongs to space group P2/m (No. 10); the cell edges are 7.075, 4.102 and 7.092 Å and the angles 90.00°, 109.48° and 90.00°. The inequivalent atoms are Dy at (0.000, 0.000, 0.000), Dy at (0.500, 0.500, 0.000), Tm at (0.000, 0.500, 0.500), Pa at (0.500, 0.000, 0.500), As at (0.250, 0.000, 0.745) and As at (0.250, 0.500, 0.253).